Entry 1:
# KLiCe2Cl8, optimized geometry, DFT PBE
# **Total energy**: -4.54 eV/atom
# **ΔE_f (raw)**: -2.07 eV/atom
data_KLiCe2Cl8
_chemical_formula_sum 'K1 Li1 Ce2 Cl8'
_space_group_name_H-M_alt 'P 1'
_space_group_IT_number 1
_cell_length_a 6.743
_cell_length_b 6.608
_cell_length_c 8.667
_cell_angle_alpha 90.00
_cell_angle_beta 90.00
_cell_angle_gamma 84.53
loop_
_space_group_symop_operation_xyz
'x,y,z'
loop_
_atom_site_label
_atom_site_fract_x
_atom_site_fract_y
_atom_site_fract_z
K1 0.000 0.000 0.500
Li1 0.000 0.000 0.000
Ce1 0.500 0.500 0.759
Ce2 0.500 0.500 0.241
Cl1 0.184 0.785 0.214
Cl2 0.671 0.705 0.000
Cl3 0.816 0.215 0.214
Cl4 0.816 0.215 0.786
Cl5 0.329 0.295 0.000
Cl6 0.184 0.785 0.786
Cl7 0.657 0.695 0.500
Cl8 0.343 0.305 0.500

Entry 2:
# K2ScCu, optimized geometry, DFT PBE
# **Total energy**: -2.51 eV/atom
# **Offset from the most stable computed form**: 1.57 eV/f.u.
# **Energy relative to the elements**: 2.58 eV/f.u.
data_K2ScCu
_chemical_formula_sum 'K4 Sc2 Cu2'
_space_group_name_H-M_alt 'P 1'
_space_group_IT_number 1
_cell_length_a 12.033
_cell_length_b 12.033
_cell_length_c 8.882
_cell_angle_alpha 47.36
_cell_angle_beta 47.36
_cell_angle_gamma 90.00
loop_
_space_group_symop_operation_xyz
'x,y,z'
loop_
_atom_site_label
_atom_site_fract_x
_atom_site_fract_y
_atom_site_fract_z
Sc1 0.500 0.500 0.000
Sc2 0.250 0.750 0.500
K1 0.769 0.125 0.250
K2 0.981 0.625 0.250
K3 0.375 0.231 0.750
K4 0.875 0.019 0.750
Cu1 0.000 0.000 0.000
Cu2 0.750 0.250 0.500

Entry 3:
# LiAsF3, optimized geometry, DFT PBE
# **Total energy**: -4.08 eV/atom
# **Offset from the most stable computed form**: 0.00 eV/f.u.
# **ΔE_f (raw)**: -1.64 eV/atom
data_LiAsF3
_chemical_formula_sum 'Li1 As1 F3'
_space_group_name_H-M_alt 'P 1'
_space_group_IT_number 1
_cell_length_a 3.752
_cell_length_b 3.752
_cell_length_c 3.752
_cell_angle_alpha 90.00
_cell_angle_beta 90.00
_cell_angle_gamma 90.00
loop_
_space_group_symop_operation_xyz
'x,y,z'
loop_
_atom_site_label
_atom_site_fract_x
_atom_site_fract_y
_atom_site_fract_z
As1 0.500 0.500 0.500
Li1 0.000 0.000 0.000
F1 0.000 0.500 0.000
F2 0.000 0.000 0.500
F3 0.500 0.000 0.000

Entry 4:
# Er2Si4NiPt3, optimized geometry, DFT PBE
# **Total energy**: -6.49 eV/atom
# **ΔE_f (raw)**: -1.02 eV/atom
data_Er2Si4NiPt3
_chemical_formula_sum 'Er2 Si4 Ni1 Pt3'
_space_group_name_H-M_alt 'P 1'
_space_group_IT_number 1
_cell_length_a 4.107
_cell_length_b 4.107
_cell_length_c 9.938
_cell_angle_alpha 90.00
_cell_angle_beta 90.00
_cell_angle_gamma 90.00
loop_
_space_group_symop_operation_xyz
'x,y,z'
loop_
_atom_site_label
_atom_site_fract_x
_atom_site_fract_y
_atom_site_fract_z
Er1 0.500 0.000 0.257
Er2 0.000 0.500 0.743
Si1 0.500 0.500 0.000
Si2 0.000 0.000 0.000
Si3 0.500 0.000 0.628
Si4 0.000 0.500 0.372
Ni1 0.500 0.500 0.500
Pt1 0.000 0.000 0.500
Pt2 0.500 0.000 0.870
Pt3 0.000 0.500 0.130

Entry 5:
# NdGa2Pt7, optimized geometry, DFT PBE
# **Total energy**: -5.57 eV/atom
# **Energy relative to the elements**: -2.58 eV/f.u.
data_NdGa2Pt7
_chemical_formula_sum 'Nd1 Ga2 Pt7'
_space_group_name_H-M_alt 'P 1'
_space_group_IT_number 1
_cell_length_a 4.577
_cell_length_b 7.195
_cell_length_c 7.195
_cell_angle_alpha 118.92
_cell_angle_beta 90.00
_cell_angle_gamma 90.00
loop_
_space_group_symop_operation_xyz
'x,y,z'
loop_
_atom_site_label
_atom_site_fract_x
_atom_site_fract_y
_atom_site_fract_z
Nd1 0.000 0.000 0.000
Ga1 0.500 0.701 0.299
Ga2 0.500 0.299 0.701
Pt1 0.000 0.775 0.225
Pt2 0.000 0.225 0.775
Pt3 0.500 0.074 0.306
Pt4 0.500 0.926 0.694
Pt5 0.500 0.306 0.074
Pt6 0.500 0.694 0.926
Pt7 0.500 0.500 0.500

Entry 6:
# Au2Se4I3, optimized geometry, DFT PBE
# **Total energy**: -2.80 eV/atom
# **ΔE_f (raw)**: -0.01 eV/atom
data_Au2Se4I3
_chemical_formula_sum 'Au2 Se4 I3'
_space_group_name_H-M_alt 'P 1'
_space_group_IT_number 1
_cell_length_a 3.881
_cell_length_b 5.689
_cell_length_c 15.384
_cell_angle_alpha 69.60
_cell_angle_beta 96.98
_cell_angle_gamma 89.74
loop_
_space_group_symop_operation_xyz
'x,y,z'
loop_
_atom_site_label
_atom_site_fract_x
_atom_site_fract_y
_atom_site_fract_z
Au1 0.622 0.472 0.239
Au2 0.378 0.528 0.761
Se1 0.068 0.514 0.128
Se2 0.821 0.611 0.644
Se3 0.179 0.389 0.356
Se4 0.932 0.486 0.872
I1 0.806 0.146 0.613
I2 0.000 0.000 0.000
I3 0.194 0.854 0.387

Entry 7:
# Mg5CdPt4, optimized geometry, DFT PBE
# **Total energy**: -4.02 eV/atom
# **Energy relative to the elements**: -7.18 eV/f.u.
data_Mg5CdPt4
_chemical_formula_sum 'Mg5 Cd1 Pt4'
_space_group_name_H-M_alt 'P 1'
_space_group_IT_number 1
_cell_length_a 3.233
_cell_length_b 3.233
_cell_length_c 16.221
_cell_angle_alpha 90.00
_cell_angle_beta 90.00
_cell_angle_gamma 90.00
loop_
_space_group_symop_operation_xyz
'x,y,z'
loop_
_atom_site_label
_atom_site_fract_x
_atom_site_fract_y
_atom_site_fract_z
Mg1 0.500 0.500 0.124
Mg2 0.500 0.500 0.311
Mg3 0.500 0.500 0.500
Mg4 0.500 0.500 0.689
Mg5 0.500 0.500 0.876
Cd1 0.000 0.000 0.000
Pt1 0.000 0.000 0.215
Pt2 0.000 0.000 0.406
Pt3 0.000 0.000 0.594
Pt4 0.000 0.000 0.785

Entry 8:
# TiNiTeRu2, optimized geometry, DFT PBE
# **Total energy**: -6.16 eV/atom
# **ΔE_f (raw)**: 0.91 eV/atom
data_TiNiTeRu2
_chemical_formula_sum 'Ti1 Ni1 Te1 Ru2'
_space_group_name_H-M_alt 'P 1'
_space_group_IT_number 1
_cell_length_a 4.565
_cell_length_b 4.454
_cell_length_c 4.565
_cell_angle_alpha 90.00
_cell_angle_beta 90.00
_cell_angle_gamma 90.00
loop_
_space_group_symop_operation_xyz
'x,y,z'
loop_
_atom_site_label
_atom_site_fract_x
_atom_site_fract_y
_atom_site_fract_z
Ru1 0.000 0.000 0.500
Ru2 0.500 0.000 0.000
Te1 0.500 0.500 0.500
Ti1 0.000 0.000 0.000
Ni1 0.000 0.500 0.000

Entry 9:
# LiS, optimized geometry, DFT PBE
# **Total energy**: -3.50 eV/atom
# **Offset from the most stable computed form**: 0.84 eV/f.u.
# **ΔE_f (raw)**: -0.48 eV/atom
data_LiS
_chemical_formula_sum 'Li8 S8'
_space_group_name_H-M_alt 'P 1'
_space_group_IT_number 1
_cell_length_a 10.565
_cell_length_b 10.565
_cell_length_c 3.249
_cell_angle_alpha 90.00
_cell_angle_beta 90.00
_cell_angle_gamma 90.00
loop_
_space_group_symop_operation_xyz
'x,y,z'
loop_
_atom_site_label
_atom_site_fract_x
_atom_site_fract_y
_atom_site_fract_z
Li1 0.425 0.768 0.000
Li2 0.575 0.232 0.000
Li3 0.232 0.425 0.000
Li4 0.768 0.575 0.000
Li5 0.925 0.268 0.500
Li6 0.075 0.732 0.500
Li7 0.732 0.925 0.500
Li8 0.268 0.075 0.500
S1 0.347 0.224 0.000
S2 0.653 0.776 0.000
S3 0.776 0.347 0.000
S4 0.224 0.653 0.000
S5 0.847 0.724 0.500
S6 0.153 0.276 0.500
S7 0.276 0.847 0.500
S8 0.724 0.153 0.500

Entry 10:
# Pm2LuPu, optimized geometry, DFT PBE
# **Total energy**: -6.98 eV/atom
# **Offset from the most stable computed form**: 0.00 eV/f.u.
# **Energy relative to the elements**: 0.44 eV/f.u.
data_Pm2LuPu
_chemical_formula_sum 'Pm2 Lu1 Pu1'
_space_group_name_H-M_alt 'P 1'
_space_group_IT_number 1
_cell_length_a 3.534
_cell_length_b 3.534
_cell_length_c 10.056
_cell_angle_alpha 90.00
_cell_angle_beta 90.00
_cell_angle_gamma 90.00
loop_
_space_group_symop_operation_xyz
'x,y,z'
loop_
_atom_site_label
_atom_site_fract_x
_atom_site_fract_y
_atom_site_fract_z
Lu1 0.500 0.500 0.500
Pm1 0.000 0.000 0.751
Pm2 0.000 0.000 0.249
Pu1 0.500 0.500 0.000

Entry 11:
# DyGa2Pb, optimized geometry, DFT PBE
# **Total energy**: -3.96 eV/atom
# **Offset from the most stable computed form**: 0.00 eV/f.u.
# **Energy relative to the elements**: -1.49 eV/f.u.
data_DyGa2Pb
_chemical_formula_sum 'Dy1 Ga2 Pb1'
_space_group_name_H-M_alt 'P 1'
_space_group_IT_number 1
_cell_length_a 4.370
_cell_length_b 4.555
_cell_length_c 4.555
_cell_angle_alpha 90.00
_cell_angle_beta 90.00
_cell_angle_gamma 90.00
loop_
_space_group_symop_operation_xyz
'x,y,z'
loop_
_atom_site_label
_atom_site_fract_x
_atom_site_fract_y
_atom_site_fract_z
Pb1 0.500 0.000 0.000
Ga1 0.000 0.000 0.500
Ga2 0.000 0.500 0.000
Dy1 0.500 0.500 0.500

Entry 12:
# Cs2Tl2CrCl6, optimized geometry, DFT PBE
# **Total energy**: -3.79 eV/atom
# **ΔE_f (raw)**: -1.32 eV/atom
data_Cs2Tl2CrCl6
_chemical_formula_sum 'Cs2 Tl2 Cr1 Cl6'
_space_group_name_H-M_alt 'P 1'
_space_group_IT_number 1
_cell_length_a 8.047
_cell_length_b 8.047
_cell_length_c 7.730
_cell_angle_alpha 98.51
_cell_angle_beta 98.51
_cell_angle_gamma 116.47
loop_
_space_group_symop_operation_xyz
'x,y,z'
loop_
_atom_site_label
_atom_site_fract_x
_atom_site_fract_y
_atom_site_fract_z
Cs1 0.344 0.656 0.500
Cs2 0.656 0.344 0.500
Tl1 0.849 0.151 0.000
Tl2 0.151 0.849 0.000
Cr1 0.000 0.000 0.500
Cl1 0.790 0.790 0.777
Cl2 0.046 0.294 0.682
Cl3 0.210 0.210 0.223
Cl4 0.294 0.046 0.682
Cl5 0.954 0.706 0.318
Cl6 0.706 0.954 0.318

Entry 13:
# Pm8Th, optimized geometry, DFT PBE
# **Total energy**: -4.93 eV/atom
# **Offset from the most stable computed form**: 0.83 eV/f.u.
# **Energy relative to the elements**: 1.10 eV/f.u.
data_Pm8Th
_chemical_formula_sum 'Pm8 Th1'
_space_group_name_H-M_alt 'P 1'
_space_group_IT_number 1
_cell_length_a 3.705
_cell_length_b 9.284
_cell_length_c 9.284
_cell_angle_alpha 87.72
_cell_angle_beta 78.49
_cell_angle_gamma 78.49
loop_
_space_group_symop_operation_xyz
'x,y,z'
loop_
_atom_site_label
_atom_site_fract_x
_atom_site_fract_y
_atom_site_fract_z
Pm1 0.665 0.000 0.671
Pm2 0.335 0.000 0.329
Pm3 0.333 0.667 0.667
Pm4 0.665 0.671 0.000
Pm5 0.000 0.667 0.333
Pm6 0.335 0.329 0.000
Pm7 0.667 0.333 0.333
Pm8 0.000 0.333 0.667
Th1 0.000 0.000 0.000

Entry 14:
# BaNa2Li, optimized geometry, DFT PBE
# **Total energy**: -1.46 eV/atom
# **Offset from the most stable computed form**: 0.53 eV/f.u.
# **Energy relative to the elements**: 0.65 eV/f.u.
data_BaNa2Li
_chemical_formula_sum 'Ba2 Na4 Li2'
_space_group_name_H-M_alt 'P 1'
_space_group_IT_number 1
_cell_length_a 5.092
_cell_length_b 5.092
_cell_length_c 13.674
_cell_angle_alpha 79.27
_cell_angle_beta 79.27
_cell_angle_gamma 90.00
loop_
_space_group_symop_operation_xyz
'x,y,z'
loop_
_atom_site_label
_atom_site_fract_x
_atom_site_fract_y
_atom_site_fract_z
Na1 0.578 0.125 0.250
Na2 0.172 0.625 0.250
Na3 0.375 0.422 0.750
Na4 0.875 0.828 0.750
Ba1 0.000 0.000 0.000
Ba2 0.750 0.250 0.500
Li1 0.500 0.500 0.000
Li2 0.250 0.750 0.500

Entry 15:
# CeTiAu, optimized geometry, DFT PBE
# **Total energy**: -5.98 eV/atom
# **Offset from the most stable computed form**: 0.00 eV/f.u.
# **Energy relative to the elements**: -0.82 eV/f.u.
data_CeTiAu
_chemical_formula_sum 'Ce1 Ti1 Au1'
_space_group_name_H-M_alt 'P 1'
_space_group_IT_number 1
_cell_length_a 3.195
_cell_length_b 3.195
_cell_length_c 6.629
_cell_angle_alpha 103.95
_cell_angle_beta 103.95
_cell_angle_gamma 90.00
loop_
_space_group_symop_operation_xyz
'x,y,z'
loop_
_atom_site_label
_atom_site_fract_x
_atom_site_fract_y
_atom_site_fract_z
Au1 0.689 0.689 0.378
Ce1 0.995 0.995 0.991
Ti1 0.315 0.315 0.631

Entry 16:
# BeCu2W, optimized geometry, DFT PBE
# **Total energy**: -5.89 eV/atom
# **Offset from the most stable computed form**: 1.03 eV/f.u.
# **Energy relative to the elements**: 1.32 eV/f.u.
data_BeCu2W
_chemical_formula_sum 'Be1 Cu2 W1'
_space_group_name_H-M_alt 'P 1'
_space_group_IT_number 1
_cell_length_a 5.107
_cell_length_b 5.107
_cell_length_c 2.494
_cell_angle_alpha 78.61
_cell_angle_beta 78.61
_cell_angle_gamma 121.48
loop_
_space_group_symop_operation_xyz
'x,y,z'
loop_
_atom_site_label
_atom_site_fract_x
_atom_site_fract_y
_atom_site_fract_z
Be1 0.000 0.500 0.500
Cu1 0.000 0.000 0.000
Cu2 0.500 0.500 0.000
W1 0.500 0.000 0.500

Entry 17:
# Tb8Pm2In, optimized geometry, DFT PBE
# **Total energy**: -4.48 eV/atom
# **Offset from the most stable computed form**: 0.74 eV/f.u.
# **Energy relative to the elements**: 0.05 eV/f.u.
data_Tb8Pm2In
_chemical_formula_sum 'Tb8 Pm2 In1'
_space_group_name_H-M_alt 'P 1'
_space_group_IT_number 1
_cell_length_a 5.458
_cell_length_b 7.628
_cell_length_c 9.809
_cell_angle_alpha 112.88
_cell_angle_beta 106.15
_cell_angle_gamma 90.00
loop_
_space_group_symop_operation_xyz
'x,y,z'
loop_
_atom_site_label
_atom_site_fract_x
_atom_site_fract_y
_atom_site_fract_z
Tb1 0.637 0.867 0.274
Tb2 0.363 0.593 0.727
Tb3 0.178 0.178 0.357
Tb4 0.000 0.258 0.000
Tb5 0.822 0.822 0.643
Tb6 0.637 0.407 0.273
Tb7 0.363 0.133 0.726
Tb8 0.000 0.742 0.000
Pm1 0.193 0.693 0.386
Pm2 0.807 0.307 0.614
In1 0.500 0.000 0.000

Entry 18:
# TaRu2, optimized geometry, DFT PBE
# **Total energy**: -10.10 eV/atom
# **Energy relative to the elements**: 0.11 eV/f.u.
data_TaRu2
_chemical_formula_sum 'Ta2 Ru4'
_space_group_name_H-M_alt 'P 1'
_space_group_IT_number 1
_cell_length_a 10.446
_cell_length_b 10.446
_cell_length_c 10.446
_cell_angle_alpha 162.85
_cell_angle_beta 162.85
_cell_angle_gamma 24.35
loop_
_space_group_symop_operation_xyz
'x,y,z'
loop_
_atom_site_label
_atom_site_fract_x
_atom_site_fract_y
_atom_site_fract_z
Ta1 0.750 0.250 0.500
Ta2 0.000 0.000 0.000
Ru1 0.573 0.573 0.000
Ru2 0.427 0.427 0.000
Ru3 0.323 0.823 0.500
Ru4 0.177 0.677 0.500

Entry 19:
# Li2IBr, optimized geometry, DFT PBE
# **Total energy**: -3.10 eV/atom
# **Offset from the most stable computed form**: 0.16 eV/f.u.
# **ΔE_f (raw)**: -1.34 eV/atom
data_Li2IBr
_chemical_formula_sum 'Li2 I1 Br1'
_space_group_name_H-M_alt 'P 1'
_space_group_IT_number 1
_cell_length_a 4.089
_cell_length_b 4.089
_cell_length_c 7.062
_cell_angle_alpha 73.17
_cell_angle_beta 73.17
_cell_angle_gamma 60.00
loop_
_space_group_symop_operation_xyz
'x,y,z'
loop_
_atom_site_label
_atom_site_fract_x
_atom_site_fract_y
_atom_site_fract_z
I1 0.000 0.000 0.000
Br1 0.500 0.500 0.500
Li1 0.756 0.756 0.732
Li2 0.244 0.244 0.268

Entry 20:
# Na8Bi2H, optimized geometry, DFT PBE
# **Total energy**: -2.19 eV/atom
data_Na8Bi2H
_chemical_formula_sum 'Na8 Bi2 H1'
_space_group_name_H-M_alt 'P 1'
_space_group_IT_number 1
_cell_length_a 5.670
_cell_length_b 6.859
_cell_length_c 9.138
_cell_angle_alpha 112.41
_cell_angle_beta 108.07
_cell_angle_gamma 90.00
loop_
_space_group_symop_operation_xyz
'x,y,z'
loop_
_atom_site_label
_atom_site_fract_x
_atom_site_fract_y
_atom_site_fract_z
Na1 0.380 0.639 0.759
Na2 0.625 0.884 0.249
Na3 0.793 0.789 0.586
Na4 0.999 0.251 0.998
Na5 0.207 0.211 0.414
Na6 0.375 0.116 0.751
Na7 0.620 0.361 0.241
Na8 0.001 0.749 0.002
Bi1 0.827 0.327 0.655
Bi2 0.173 0.673 0.345
H1 0.500 0.000 0.000

Taking the records one at a time from the top gives calculated density values of 2635; 1681; 4366; 10807; 13206; 5739; 9932; 7808; 1429; 9373; 9324; 3627; 7538; 1848; 10047; 10469; 7761; 12837; 3802; 3235 kg/m3.